## K3Mn2CuF9 (PBE with a Hubbard U)

Data for a geometry-optimized K3Mn2CuF9 structure.

Unit cell a=5.9225 b=5.9225 c=7.2663 alpha=90.00 beta=90.00 gamma=120.00
Element x y z (fractional)
1 Cu 0.0000 0.0000 0.5000
2 F 0.8341 0.1659 0.6653
3 F 0.8341 0.6682 0.6653
4 F 0.5000 0.5000 0.0000
5 F 0.0000 0.5000 0.0000
6 F 0.5000 0.0000 0.0000
7 F 0.1659 0.8341 0.3347
8 F 0.3318 0.1659 0.6653
9 F 0.6682 0.8341 0.3347
10 F 0.1659 0.3318 0.3347
11 Mn 0.3333 0.6667 0.1706
12 Mn 0.6667 0.3333 0.8294
13 K 0.3333 0.6667 0.6597
14 K 0.6667 0.3333 0.3403
15 K 0.0000 0.0000 0.0000

Properties
Calculated volume = 221 Å³/f.u.
VASP energy = -5.163 eV/atom